Crystalline La2AlTeRu at its relaxed geometry. Source: Alexandria, functional PBE.

a b c (Å): 5.4757 5.4757 4.7917
angles (deg): 90.00 90.00 90.00
Last column: nearest neighbours and their distance in Å.
Space group P4/mmm (No. 123)
One atom of each set of equivalent atoms:
La1 0.0000 0.5000 0.0000 [2 per cell]  2 Ru 2.74
Al1 0.0000 0.0000 0.5000 [1 per cell]  2 Ru 2.40
Te1 0.5000 0.5000 0.5000 [1 per cell]  8 La 3.64, 4 Al 3.87
Ru1 0.0000 0.0000 0.0000 [1 per cell]  2 Al 2.40

Crystal system: tetragonal
Uncorrected formation energy (kJ per mole of atoms): -73